No. 1
VASP calculation (PBE-GGA) on a geometry-optimized KHg3GeO4 structure.

Computed properties:
Symmetry: P-43m (215)

abc: 6.039 6.039 6.039
angles: 90.00 90.00 90.00
Element x y z (fractional)
Ge  0.500  0.500  0.500
Hg  0.500  0.500  0.000
Hg  0.500  0.000  0.500
Hg  0.000  0.500  0.500
K  0.000  0.000  0.000
O  0.327  0.327  0.327
O  0.673  0.673  0.327
O  0.673  0.327  0.673
O  0.327  0.673  0.673



No. 2
VASP calculation (PBE-GGA) on a geometry-optimized HoURe structure.

Computed properties:
Spin magnetization in Bohr magnetons per cell: 1.160
Symmetry: F-43m (216)
DFT formation energy in kcal/mol of atoms: 25.38

abc: 4.598 4.598 4.598
angles: 60.00 60.00 60.00
Last column: magnetic moment on the atom in μB.
Element x y z (fractional)
Ho  0.500  0.500  0.500  0.31
Re  0.000  0.000  0.000  -0.22
U  0.250  0.250  0.250  1.10



No. 3
VASP calculation (PBE-GGA) on a geometry-optimized TaBiTe structure.

Computed properties:
Spin magnetization in Bohr magnetons per cell: 0.948
Symmetry: F-43m (216)

abc: 4.909 4.909 4.909
angles: 60.00 60.00 60.00
Element x y z (fractional)
Bi  0.250  0.250  0.250
Ta  0.000  0.000  0.000
Te  0.750  0.750  0.750



No. 4
VASP calculation (PBE-GGA) on a geometry-optimized LaEr2Mg3Tl2Cd structure.

Computed properties:
Spin magnetization in Bohr magnetons per cell: 0.000
Symmetry: Amm2 (38)

abc: 4.690 7.660 7.660
angles: 121.31 90.00 90.00
Element x y z (fractional)
Cd  0.000  0.987  0.987
Er  0.000  0.578  0.003
Er  0.000  0.003  0.578
La  0.000  0.427  0.427
Mg  0.500  0.999  0.238
Mg  0.500  0.761  0.761
Mg  0.500  0.238  0.999
Tl  0.500  0.676  0.331
Tl  0.500  0.331  0.676



No. 5
VASP calculation (PBE-GGA) on a geometry-optimized BaHf structure.

Computed properties:
Spin magnetization in Bohr magnetons per cell: 0.001
Symmetry: P-6m2 (187)

abc: 3.439 3.439 6.143
angles: 90.00 90.00 120.00
Element x y z (fractional)
Ba  0.667  0.333  0.750
Hf  0.333  0.667  0.250



No. 6
VASP calculation (PBE-GGA) on a geometry-optimized HfSc3Pb2C2 structure.

Computed properties:
Spin magnetization in Bohr magnetons per cell: 0.035
Symmetry: P3m1 (156)

abc: 3.395 3.395 15.015
angles: 90.00 90.00 120.00
Element x y z (fractional)
C  0.000  0.000  0.004
C  0.000  0.000  0.499
Hf  0.333  0.667  0.080
Pb  0.667  0.333  0.248
Pb  0.333  0.667  0.750
Sc  0.333  0.667  0.420
Sc  0.667  0.333  0.579
Sc  0.667  0.333  0.920



No. 7
VASP calculation (PBE-GGA) on a geometry-optimized SrLiIn4Pd2 structure.

Computed properties:
Symmetry: Amm2 (38)

abc: 7.990 5.635 5.635
angles: 46.99 90.00 90.00
Element x y z (fractional)
In  0.289  0.358  0.358
In  0.711  0.358  0.358
In  0.188  0.648  0.648
In  0.812  0.648  0.648
Li  0.000  0.934  0.934
Pd  0.000  0.212  0.212
Pd  0.500  0.778  0.778
Sr  0.500  0.065  0.065



No. 8
VASP calculation (PBE-GGA) on a geometry-optimized SrCuB structure.

Computed properties:
Symmetry: F-43m (216)

abc: 4.439 4.439 4.439
angles: 60.00 60.00 60.00
Element x y z (fractional)
B  0.250  0.250  0.250
Cu  0.000  0.000  0.000
Sr  0.750  0.750  0.750



No. 9
VASP calculation (PBE-GGA) on a geometry-optimized ScAgTe2 structure.

Computed properties:
Spin magnetization in Bohr magnetons per cell: 0.002
Symmetry: F-43m (216)

abc: 5.169 5.169 5.169
angles: 60.00 60.00 60.00
Element x y z (fractional)
Ag  0.250  0.250  0.250
Sc  0.000  0.000  0.000
Te  0.500  0.500  0.500
Te  0.750  0.750  0.750



No. 10
VASP calculation (PBE-GGA) on a geometry-optimized PrCo structure.

Computed properties:
Spin magnetization in Bohr magnetons per cell: 0.002
Symmetry: P-6m2 (187)
DFT formation energy in kcal/mol of atoms: 8.91

abc: 3.793 3.793 3.606
angles: 90.00 90.00 120.00
Element x y z (fractional)
Co  0.667  0.333  0.750
Pr  0.333  0.667  0.250



No. 11
VASP calculation (PBE-GGA) on a geometry-optimized GdCoHg structure.

Computed properties:
Spin magnetization in Bohr magnetons per cell: 0.000
Symmetry: F-43m (216)
DFT formation energy in kcal/mol of atoms: -0.73

abc: 4.543 4.543 4.543
angles: 60.00 60.00 60.00
Element x y z (fractional)
Co  0.000  0.000  0.000
Gd  0.250  0.250  0.250
Hg  0.750  0.750  0.750



No. 12
VASP calculation (PBE-GGA) on a geometry-optimized LaCuAgGe2 structure.

Computed properties:
Spin magnetization in Bohr magnetons per cell: 0.000
Symmetry: I-4m2 (119)

abc: 6.182 6.182 6.182
angles: 139.27 139.27 58.96
Element x y z (fractional)
Ag  0.750  0.250  0.500
Cu  0.250  0.750  0.500
Ge  0.117  0.117  0.000
Ge  0.883  0.883  0.000
La  0.500  0.500  0.000



No. 13
VASP calculation (PBE-GGA) on a geometry-optimized ErNpTl structure.

Computed properties:
Spin magnetization in Bohr magnetons per cell: 5.259
Symmetry: F-43m (216)

abc: 5.106 5.106 5.106
angles: 60.00 60.00 60.00
Element x y z (fractional)
Er  0.250  0.250  0.250
Np  0.750  0.750  0.750
Tl  0.000  0.000  0.000



No. 14
VASP calculation (PBE-GGA) on a geometry-optimized Lu4AsPN2 structure.

Computed properties:
Spin magnetization in Bohr magnetons per cell: 0.010
Symmetry: P-6m2 (187)

abc: 3.584 3.584 12.480
angles: 90.00 90.00 120.00
Element x y z (fractional)
As  0.000  0.000  0.000
Lu  0.667  0.333  0.153
Lu  0.000  0.000  0.361
Lu  0.000  0.000  0.639
Lu  0.667  0.333  0.847
N  0.333  0.667  0.253
N  0.333  0.667  0.747
P  0.667  0.333  0.500



No. 15
VASP calculation (PBE-GGA) on a geometry-optimized Pr4OsCl5 structure.

Computed properties:
Spin magnetization in Bohr magnetons per cell: 0.776
Symmetry: C2/m (12)

abc: 9.417 9.417 8.791
angles: 106.45 106.45 25.47
Last column: magnetic moment on the atom in μB.
Element x y z (fractional)
Cl  0.830  0.830  0.129  0.00
Cl  0.169  0.169  0.330  0.00
Cl  0.500  0.500  0.500  0.00
Cl  0.831  0.831  0.670  0.00
Cl  0.170  0.170  0.871  0.00
Os  0.500  0.500  0.000  0.00
Pr  0.652  0.652  0.095  0.10
Pr  0.002  0.002  0.232  0.07
Pr  0.998  0.998  0.768  0.07
Pr  0.348  0.348  0.905  0.10



No. 16
VASP calculation (PBE-GGA) on a geometry-optimized PrYNi2B2N2 structure.

Computed properties:
Spin magnetization in Bohr magnetons per cell: 0.006
Symmetry: P4mm (99)

abc: 3.580 3.580 7.544
angles: 90.00 90.00 90.00
Element x y z (fractional)
B  0.000  0.000  0.346
B  0.500  0.500  0.657
N  0.000  0.000  0.154
N  0.500  0.500  0.852
Ni  0.500  0.000  0.497
Ni  0.000  0.500  0.497
Pr  0.000  0.000  0.828
Y  0.500  0.500  0.168



No. 17
VASP calculation (PBE-GGA) on a geometry-optimized SmYRe structure.

Computed properties:
Spin magnetization in Bohr magnetons per cell: 0.247
Symmetry: F-43m (216)
DFT formation energy in kcal/mol of atoms: 27.68

abc: 4.807 4.807 4.807
angles: 60.00 60.00 60.00
Element x y z (fractional)
Re  0.250  0.250  0.250
Sm  0.000  0.000  0.000
Y  0.750  0.750  0.750



No. 18
VASP calculation (PBE-GGA) on a geometry-optimized TbYSi2Pt4 structure.

Computed properties:
Spin magnetization in Bohr magnetons per cell: 0.005
Symmetry: Amm2 (38)

abc: 7.118 5.464 5.464
angles: 41.65 90.00 90.00
Element x y z (fractional)
Pt  0.200  0.144  0.144
Pt  0.800  0.144  0.144
Pt  0.300  0.856  0.856
Pt  0.700  0.856  0.856
Si  0.500  0.270  0.270
Si  0.000  0.730  0.730
Tb  0.000  0.447  0.447
Y  0.500  0.552  0.552



No. 19
VASP calculation (PBE-GGA) on a geometry-optimized RbAgS structure.

Computed properties:
Symmetry: P4/nmm (129)

abc: 4.469 4.469 7.868
angles: 90.00 90.00 90.00
Element x y z (fractional)
Ag  0.000  0.000  0.000
Ag  0.500  0.500  0.000
Rb  0.500  0.000  0.344
Rb  0.000  0.500  0.656
S  0.000  0.500  0.202
S  0.500  0.000  0.798



No. 20
VASP calculation (PBE-GGA) on a geometry-optimized AcZrGe structure.

Computed properties:
Spin magnetization in Bohr magnetons per cell: 2.598
Symmetry: F-43m (216)

abc: 4.999 4.999 4.999
angles: 60.00 60.00 60.00
Last column: magnetic moment on the atom in μB.
Element x y z (fractional)
Ac  0.250  0.250  0.250  0.40
Ge  0.750  0.750  0.750  -0.04
Zr  0.000  0.000  0.000  1.28



No. 21
VASP calculation (PBE-GGA) on a geometry-optimized CsZn2BO3F2 structure.

Computed properties:
Symmetry: R32 (155)

abc: 7.394 7.394 7.394
angles: 39.28 39.28 39.28
Element x y z (fractional)
B  0.500  0.500  0.500
Cs  0.000  0.000  0.000
F  0.295  0.295  0.295
F  0.705  0.705  0.705
O  0.500  0.777  0.223
O  0.777  0.223  0.500
O  0.223  0.500  0.777
Zn  0.202  0.202  0.202
Zn  0.798  0.798  0.798



No. 22
VASP calculation (PBE-GGA) on a geometry-optimized NpSi structure.

Computed properties:
Spin magnetization in Bohr magnetons per cell: 1.028
Symmetry: P-6m2 (187)

abc: 2.806 2.806 4.909
angles: 90.00 90.00 120.00
Last column: magnetic moment on the atom in μB.
Element x y z (fractional)
Np  0.667  0.333  0.750  1.12
Si  0.333  0.667  0.250  -0.03



No. 23
VASP calculation (PBE-GGA) on a geometry-optimized Tb3Zn4 structure.

Computed properties:
Spin magnetization in Bohr magnetons per cell: 0.342
Symmetry: P6_3/m (176)
DFT formation energy in kcal/mol of atoms: -4.58

abc: 8.820 8.820 4.590
angles: 90.00 90.00 60.00
Element x y z (fractional)
Tb  0.103  0.290  0.000
Tb  0.322  0.531  0.000
Tb  0.862  0.750  0.000
Tb  0.421  0.091  0.500
Tb  0.662  0.631  0.500
Tb  0.202  0.850  0.500
Zn  0.966  0.023  0.000
Zn  0.594  0.154  0.000
Zn  0.725  0.394  0.000
Zn  0.429  0.857  0.000
Zn  0.930  0.227  0.500
Zn  0.558  0.358  0.500
Zn  0.095  0.524  0.500
Zn  0.798  0.987  0.500



No. 24
VASP calculation (PBE-GGA) on a geometry-optimized Sc2MoOs structure.

Computed properties:
Spin magnetization in Bohr magnetons per cell: 0.003
Symmetry: F-43m (216)
DFT formation energy in kcal/mol of atoms: -0.99

abc: 4.586 4.586 4.586
angles: 60.00 60.00 60.00
Element x y z (fractional)
Mo  0.750  0.750  0.750
Os  0.000  0.000  0.000
Sc  0.250  0.250  0.250
Sc  0.500  0.500  0.500



No. 25
VASP calculation (PBE-GGA) on a geometry-optimized Sm2Ho2CI3Br2 structure.

Computed properties:
Spin magnetization in Bohr magnetons per cell: 0.268
Symmetry: C2/m (12)

abc: 9.558 9.558 8.675
angles: 102.31 102.31 23.93
Last column: magnetic moment on the atom in μB.
Element x y z (fractional)
Br  0.161  0.161  0.312  0.00
Br  0.839  0.839  0.688  0.00
C  0.500  0.500  0.000  0.00
Ho  0.631  0.631  0.067  0.05
Ho  0.369  0.369  0.933  0.05
I  0.828  0.828  0.171  0.00
I  0.500  0.500  0.500  0.00
I  0.172  0.172  0.829  0.00
Sm  0.000  0.000  0.195  0.02
Sm  0.000  0.000  0.805  0.02



No. 26
VASP calculation (PBE-GGA) on a geometry-optimized Hf2CdSn2 structure.

Computed properties:
Spin magnetization in Bohr magnetons per cell: 0.012
Symmetry: I4/mmm (139)

abc: 6.944 6.944 6.944
angles: 140.64 140.64 56.88
Element x y z (fractional)
Cd  0.000  0.000  0.000
Hf  0.750  0.250  0.500
Hf  0.250  0.750  0.500
Sn  0.387  0.387  0.000
Sn  0.613  0.613  0.000



No. 27
VASP calculation (PBE-GGA) on a geometry-optimized TlFeHgAu structure.

Computed properties:
Spin magnetization in Bohr magnetons per cell: 2.792
Symmetry: F-43m (216)

abc: 4.821 4.821 4.821
angles: 60.00 60.00 60.00
Element x y z (fractional)
Au  0.250  0.250  0.250
Fe  0.750  0.750  0.750
Hg  0.500  0.500  0.500
Tl  0.000  0.000  0.000



No. 28
VASP calculation (PBE-GGA) on a geometry-optimized KHoTmCo2 structure.

Computed properties:
Spin magnetization in Bohr magnetons per cell: 1.065
Symmetry: Amm2 (38)

abc: 3.833 9.101 9.101
angles: 24.65 90.00 90.00
Last column: magnetic moment on the atom in μB.
Element x y z (fractional)
Co  0.500  0.220  0.220  -0.70
Co  0.500  0.779  0.779  -0.69
Ho  0.000  0.332  0.332  0.14
K  0.500  0.001  0.001  0.00
Tm  0.000  0.668  0.668  0.15



Raw total energy, record by record: -3.583 -8.331 -5.894 -3.022 -5.067 -7.483 -3.599 -3.026 -3.981 -5.554 -4.051 -4.632 -6.020 -7.072 -5.527 -7.539 -6.666 -6.925 -3.224 -5.360 -5.364 -9.211 -2.905 -8.725 -4.816 -5.538 -3.126 -4.851 eV per atom